# NaAc2Pd6Pb3

A relaxed structure of NaAc2Pd6Pb3 (GGA-PBE, the Alexandria database).

Unit cell a=4.146 b=4.146 c=18.985 alpha=90.00 beta=90.00 gamma=90.00
Space group P4/mmm (No. 123)
Unique sites:
Na1 0.000 0.000 0.000 x1
Ac1 0.000 0.000 0.374 x2
Pd1 0.000 0.500 0.115 x4
Pd2 0.500 0.500 0.350 x2
Pb1 0.500 0.500 0.207 x2
Pb2 0.500 0.500 0.500 x1

Values from the calculation:
energy of formation from the pure elements	-0.230	eV per atom
N(E_F)	0.61	states/eV per atom